Entry 1:
Compound: CaDy2ThBi4
Source: Alexandria via LeMat-Bulk
Functional: GGA-PBE
Structure: optimized geometry

Properties
The calculation puts the volume at 33.3 Å³/atom. The energy is -0.3720 Ry/atom. The value obtained for the formation enthalpy at 0 K is -18.27 kcal/mol of atoms.

Cell lengths 9.0888, 12.8850, 9.0875 Å; angles 90.00, 90.00, 90.00 degrees
Last column: nearest neighbours and their distance in Å.
Space group Fmm2 (No. 42)
Inequivalent atoms, fractional coordinates:
Ca 0.0000 0.0000 0.0000 [4 per cell]  6 Bi 3.21-3.23
Dy 0.2500 0.2500 0.2508 [8 per cell]  6 Bi 3.21-3.22
Th 0.0000 0.0000 0.5003 [4 per cell]  6 Bi 3.21
Bi 0.0000 0.2494 0.5008 [8 per cell]  4 Dy 3.21, 1 Th 3.21, 1 Ca 3.23
Bi 0.2498 0.0000 0.2502 [8 per cell]  2 Ca 3.21, 2 Th 3.21, 2 Dy 3.22



Entry 2:
Compound: CaDy3Tm2Bi6
Source: Alexandria via LeMat-Bulk
Functional: GGA-PBE
Structure: optimized geometry

Properties
The calculation puts the volume at 31.9 Å³/atom. The energy is -0.3532 Ry/atom. The value obtained for the formation enthalpy at 0 K is -18.50 kcal/mol of atoms.

Cell lengths 19.5466, 4.4758, 8.9866 Å; angles 90.00, 103.17, 90.00 degrees
Last column: nearest neighbours and their distance in Å.
Space group C2/m (No. 12)
Inequivalent atoms, fractional coordinates:
Ca 0.0000 0.0000 0.0000 [2 per cell]  6 Bi 3.21-3.22
Dy 0.0000 0.0000 0.5000 [2 per cell]  6 Bi 3.14-3.19
Dy 0.1644 0.5000 0.8341 [4 per cell]  6 Bi 3.16-3.20
Tm 0.1663 0.5000 0.3322 [4 per cell]  6 Bi 3.14-3.16
Bi 0.0016 0.5000 0.2562 [4 per cell]  1 Tm 3.14, 3 Dy 3.14-3.16, 2 Ca 3.21
Bi 0.1678 0.0000 0.5818 [4 per cell]  3 Tm 3.16, 3 Dy 3.19-3.20
Bi 0.1693 0.0000 0.0878 [4 per cell]  2 Tm 3.15, 3 Dy 3.17-3.18, 1 Ca 3.22



Entry 3:
Compound: CaDyTm2Bi4
Source: Alexandria via LeMat-Bulk
Functional: GGA-PBE
Structure: optimized geometry

Properties
The calculation puts the volume at 32.0 Å³/atom. The energy is -0.3421 Ry/atom. The value obtained for the formation enthalpy at 0 K is -17.78 kcal/mol of atoms.

Cell lengths 7.7904, 4.4525, 7.8010 Å; angles 90.00, 109.06, 90.00 degrees
Last column: nearest neighbours and their distance in Å.
Space group P2/m (No. 10)
Inequivalent atoms, fractional coordinates:
Ca 0.0000 0.0000 0.0000 [1 per cell]  6 Bi 3.22
Dy 0.5000 0.5000 0.0000 [1 per cell]  6 Bi 3.19
Tm 0.0000 0.5000 0.5000 [1 per cell]  6 Bi 3.16
Tm 0.5000 0.0000 0.5000 [1 per cell]  6 Bi 3.12-3.13
Bi 0.2511 0.0000 0.7444 [2 per cell]  3 Tm 3.13-3.16, 2 Dy 3.19, 1 Ca 3.22
Bi 0.2567 0.5000 0.2590 [2 per cell]  3 Tm 3.12-3.16, 1 Dy 3.19, 2 Ca 3.22



Entry 4:
Compound: CaDy2TmBi4
Source: Alexandria via LeMat-Bulk
Functional: GGA-PBE
Structure: optimized geometry

Properties
The calculation puts the volume at 32.2 Å³/atom. The energy is -0.3444 Ry/atom. The value obtained for the formation enthalpy at 0 K is -18.11 kcal/mol of atoms.

Cell lengths 7.8036, 4.4655, 7.8208 Å; angles 90.00, 109.09, 90.00 degrees
Last column: nearest neighbours and their distance in Å.
Space group P2/m (No. 10)
Inequivalent atoms, fractional coordinates:
Ca 0.0000 0.0000 0.0000 [1 per cell]  6 Bi 3.21-3.22
Dy 0.5000 0.0000 0.5000 [1 per cell]  6 Bi 3.15
Dy 0.5000 0.5000 0.0000 [1 per cell]  6 Bi 3.20
Tm 0.0000 0.5000 0.5000 [1 per cell]  6 Bi 3.17
Bi 0.2500 0.0000 0.7457 [2 per cell]  3 Dy 3.15-3.20, 2 Tm 3.17, 1 Ca 3.21
Bi 0.2544 0.5000 0.2567 [2 per cell]  3 Dy 3.15-3.20, 1 Tm 3.17, 2 Ca 3.22



Entry 5:
Compound: CaDy2Y3Bi6
Source: Alexandria via LeMat-Bulk
Functional: GGA-PBE
Structure: optimized geometry

Properties
The calculation puts the volume at 32.3 Å³/atom. The energy is -0.3923 Ry/atom. The value obtained for the formation enthalpy at 0 K is -19.52 kcal/mol of atoms.

Cell lengths 19.6362, 4.4947, 9.0206 Å; angles 90.00, 103.28, 90.00 degrees
Last column: nearest neighbours and their distance in Å.
Space group C2/m (No. 12)
Inequivalent atoms, fractional coordinates:
Ca 0.0000 0.0000 0.0000 [2 per cell]  6 Bi 3.22-3.23
Dy 0.1661 0.5000 0.3318 [4 per cell]  6 Bi 3.16-3.19
Y 0.0000 0.0000 0.5000 [2 per cell]  6 Bi 3.15-3.20
Y 0.1650 0.5000 0.8338 [4 per cell]  6 Bi 3.17-3.20
Bi 0.0006 0.5000 0.2556 [4 per cell]  3 Y 3.15-3.17, 1 Dy 3.16, 2 Ca 3.22
Bi 0.1672 0.0000 0.5828 [4 per cell]  3 Dy 3.19, 3 Y 3.20
Bi 0.1689 0.0000 0.0854 [4 per cell]  2 Dy 3.17, 3 Y 3.17-3.18, 1 Ca 3.23



Entry 6:
Compound: CaErBi2
Source: Alexandria via LeMat-Bulk
Functional: GGA-PBE
Structure: optimized geometry

Properties
The calculation puts the volume at 32.9 Å³/atom. The energy is -0.3159 Ry/atom. For the energy relative to the lowest polymorph listed for this composition, the calculation gives 0.000 eV per atom. The value obtained for the formation enthalpy at 0 K is -16.53 kcal/mol of atoms.

Cell lengths 7.6338, 4.4169, 8.2088 Å; angles 90.00, 108.13, 90.00 degrees
Last column: nearest neighbours and their distance in Å.
Space group C2/m (No. 12)
Inequivalent atoms, fractional coordinates:
Ca 0.0000 0.0000 0.0000 [2 per cell]  6 Bi 3.27
Er 0.0000 0.5000 0.5000 [2 per cell]  6 Bi 3.15
Bi 0.2459 0.0000 0.7374 [4 per cell]  3 Er 3.15, 3 Ca 3.27



Entry 7:
Compound: CaEr2Bi
Source: Alexandria via LeMat-Bulk
Functional: GGA-PBE
Structure: optimized geometry

Properties
The calculation puts the volume at 34.0 Å³/atom. The energy is -0.2675 Ry/atom. The value obtained for the formation enthalpy at 0 K is 2.61 kcal/mol of atoms.

Cell lengths 3.5778, 3.5778, 36.8023 Å; angles 90.00, 90.00, 120.00 degrees
Last column: nearest neighbours and their distance in Å.
Space group R-3m (No. 166, hexagonal axes)
Inequivalent atoms, fractional coordinates:
Ca 0.0000 0.0000 0.0000 [3 per cell]  6 Ca 3.58, 6 Er 3.66
Er 0.0000 0.0000 0.4154 [6 per cell]  1 Bi 3.11
Bi 0.0000 0.0000 0.5000 [3 per cell]  2 Er 3.11



Entry 8:
Compound: CaEr4Bi5
Source: Alexandria via LeMat-Bulk
Functional: GGA-PBE
Structure: optimized geometry

Properties
The calculation puts the volume at 31.8 Å³/atom. The energy is -0.3490 Ry/atom. The value obtained for the formation enthalpy at 0 K is -18.06 kcal/mol of atoms.

Cell lengths 4.4607, 6.3313, 22.5154 Å; angles 90.00, 90.00, 90.00 degrees
Last column: nearest neighbours and their distance in Å.
Space group Immm (No. 71)
Inequivalent atoms, fractional coordinates:
Ca 0.0000 0.0000 0.0000 [2 per cell]  6 Bi 3.17-3.25
Er 0.0000 0.0000 0.2011 [4 per cell]  6 Bi 3.11-3.17
Er 0.0000 0.0000 0.4015 [4 per cell]  6 Bi 3.14-3.18
Bi 0.0000 0.5000 0.0000 [2 per cell]  4 Er 3.14, 2 Ca 3.17
Bi 0.0000 0.5000 0.1992 [4 per cell]  6 Er 3.16-3.18
Bi 0.0000 0.5000 0.3952 [4 per cell]  4 Er 3.11-3.17, 2 Ca 3.25



Entry 9:
Compound: CaErBi2
Source: Alexandria via LeMat-Bulk
Functional: GGA-PBE
Structure: optimized geometry

Properties
The calculation puts the volume at 34.0 Å³/atom. The energy is -0.3101 Ry/atom. For the energy relative to the lowest polymorph listed for this composition, the calculation gives 0.080 eV per atom. The value obtained for the formation enthalpy at 0 K is -14.69 kcal/mol of atoms.

Cell lengths 4.6735, 4.6735, 21.5462 Å; angles 90.00, 90.00, 120.00 degrees
Last column: nearest neighbours and their distance in Å.
Space group R3m (No. 160, hexagonal axes)
Inequivalent atoms, fractional coordinates:
Ca 0.0000 0.0000 0.0000 [3 per cell]  6 Bi 3.25-3.31
Er 0.0000 0.0000 0.8268 [3 per cell]  6 Bi 3.16-3.25
Bi 0.0000 0.0000 0.4172 [3 per cell]  3 Er 3.16, 3 Ca 3.25, 1 Bi 3.46
Bi 0.0000 0.0000 0.5778 [3 per cell]  3 Er 3.25, 3 Ca 3.31, 1 Bi 3.46



Entry 10:
Compound: CaErBi2
Source: Alexandria via LeMat-Bulk
Functional: GGA-PBE
Structure: optimized geometry

Properties
The calculation puts the volume at 30.1 Å³/atom. The energy is -0.3075 Ry/atom. For the energy relative to the lowest polymorph listed for this composition, the calculation gives 0.115 eV per atom. The value obtained for the formation enthalpy at 0 K is -13.88 kcal/mol of atoms.

Cell lengths 5.4011, 5.4011, 4.1302 Å; angles 90.00, 90.00, 90.00 degrees
Last column: nearest neighbours and their distance in Å.
Space group P4/mmm (No. 123)
Inequivalent atoms, fractional coordinates:
Ca 0.0000 0.0000 0.0000 [1 per cell]  8 Bi 3.40
Er 0.5000 0.5000 0.0000 [1 per cell]  8 Bi 3.40
Bi 0.0000 0.5000 0.5000 [2 per cell]  4 Er 3.40, 4 Ca 3.40



Entry 11:
Compound: CaErBi2
Source: Alexandria via LeMat-Bulk
Functional: GGA-PBE
Structure: optimized geometry

Properties
The calculation puts the volume at 30.1 Å³/atom. The energy is -0.3093 Ry/atom. For the energy relative to the lowest polymorph listed for this composition, the calculation gives 0.090 eV per atom. The value obtained for the formation enthalpy at 0 K is -14.44 kcal/mol of atoms.

Cell lengths 4.1093, 4.1093, 7.1241 Å; angles 90.00, 90.00, 90.00 degrees
Last column: nearest neighbours and their distance in Å.
Space group P4/mmm (No. 123)
Inequivalent atoms, fractional coordinates:
Ca 0.0000 0.0000 0.0000 [1 per cell]  8 Bi 3.45, 2 Er 3.56
Er 0.0000 0.0000 0.5000 [1 per cell]  8 Bi 3.37, 2 Ca 3.56
Bi 0.5000 0.5000 0.2617 [2 per cell]  4 Er 3.37, 2 Bi 3.40-3.73, 4 Ca 3.45



Entry 12:
Compound: CaErBi2
Source: Alexandria via LeMat-Bulk
Functional: GGA-PBE
Structure: optimized geometry

Properties
The calculation puts the volume at 30.2 Å³/atom. The energy is -0.3073 Ry/atom. For the energy relative to the lowest polymorph listed for this composition, the calculation gives 0.117 eV per atom. The value obtained for the formation enthalpy at 0 K is -13.84 kcal/mol of atoms.

Cell lengths 7.8464, 7.8464, 7.8464 Å; angles 90.00, 90.00, 90.00 degrees
Last column: nearest neighbours and their distance in Å.
Space group Fm-3m (No. 225)
Inequivalent atoms, fractional coordinates:
Ca 0.0000 0.0000 0.0000 [4 per cell]  8 Bi 3.40
Er 0.0000 0.0000 0.5000 [4 per cell]  8 Bi 3.40
Bi 0.2500 0.2500 0.2500 [8 per cell]  4 Er 3.40, 4 Ca 3.40